[1]
The following is a PBE calculation of a geometry-optimized YHoI3 structure, from Alexandria.

Cell and atoms, written as extended XYZ:
```
10
Lattice="-0.557 -0.236 4.025 -9.584 -2.704 -3.542 6.956 -9.056 0.430" Properties=species:S:1:pos:R:3 pbc="T T T"
Y -3.448 -9.415 1.028
Y 0.263 -2.581 -0.115
Ho 5.054 -9.325 2.209
Ho -8.239 -2.671 -1.296
I -3.401 -7.036 -0.883
I 0.216 -4.960 1.796
I -0.435 -9.721 1.427
I -2.750 -2.275 -0.514
I 3.805 -7.342 0.095
I -6.989 -4.654 0.818
```

Crystal system = monoclinic
Total DFT energy (no corrections) = -4.252 eV per atom
Calculated density = 4.700 g/cm³
ΔE_f (raw) = -1.113 eV per atom

***

[2]
The following is a PBE calculation of a geometry-optimized Y2HoI structure, from Alexandria.

Cell and atoms, written as extended XYZ:
```
4
Lattice="-3.497 0.605 -1.281 -1.203 -1.769 -3.108 -5.054 -8.232 4.352" Properties=species:S:1:pos:R:3 pbc="T T T"
Y -4.222 -6.361 2.964
Y -2.396 -2.253 -0.081
Ho -4.880 -4.705 -0.014
I -8.187 -9.008 1.425
```

Crystal system = trigonal
Total DFT energy (no corrections) = -5.120 eV per atom
Calculated density = 6.101 g/cm³
ΔE_f (raw) = -0.356 eV per atom

***

[3]
The following is a PBE calculation of a geometry-optimized YHoI2 structure, from Alexandria.

Cell and atoms, written as extended XYZ:
```
4
Lattice="3.847 0.000 0.000 1.923 3.332 0.000 1.923 1.111 10.625" Properties=species:S:1:pos:R:3 pbc="T T T"
I 1.923 1.111 7.521
I 5.770 3.332 3.103
Y 3.847 2.221 5.312
Ho 0.000 0.000 0.000
```

Crystal system = trigonal
Total DFT energy (no corrections) = -4.161 eV per atom
Calculated density = 6.190 g/cm³
ΔE_f (raw) = -0.626 eV per atom

***

[4]
The following is a PBE calculation of a geometry-optimized YHoI4 structure, from Alexandria.

Cell and atoms, written as extended XYZ:
```
6
Lattice="-3.816 1.226 -1.012 -2.744 -5.357 3.858 0.711 6.494 5.184" Properties=species:S:1:pos:R:3 pbc="T T T"
Y -1.017 0.569 4.521
Ho -1.552 3.860 2.086
I -0.142 3.517 4.795
I -1.891 -2.380 4.248
I -3.433 1.437 6.243
I -2.416 0.925 1.787
```

Crystal system = monoclinic
Total DFT energy (no corrections) = -4.078 eV per atom
Calculated density = 5.345 g/cm³
ΔE_f (raw) = -1.204 eV per atom